1.
NaSmGdOs | GGA-PBE | optimized geometry

Summary:
The value obtained for the total DFT energy (no corrections) is -7.758 eV/atom. The formation energy is 79 meV per atom.

Geometry as CIF:
```
data_NaSmGdOs
_cell_length_a 7.184
_cell_length_b 7.184
_cell_length_c 7.184
_cell_angle_alpha 90.00
_cell_angle_beta 90.00
_cell_angle_gamma 90.00
_symmetry_space_group_name_H-M 'F -4 3 m'
_symmetry_Int_Tables_number 216
_symmetry_space_group_name_Hall 'F -4 2 3'
loop_
_atom_site_label
_atom_site_type_symbol
_atom_site_fract_x
_atom_site_fract_y
_atom_site_fract_z
Na1 Na 0.000 0.000 0.000
Sm1 Sm 0.250 0.250 0.250
Gd1 Gd 0.250 0.250 0.750
Os1 Os 0.000 0.000 0.500
```

2.
Na2GdPb | GGA-PBE | optimized geometry

Summary:
The value obtained for the total DFT energy (no corrections) is -4.964 eV/atom. The formation energy is 142 meV per atom.

Geometry as CIF:
```
data_Na2GdPb
_cell_length_a 3.4652
_cell_length_b 3.4652
_cell_length_c 37.7173
_cell_angle_alpha 90.00
_cell_angle_beta 90.00
_cell_angle_gamma 120.00
_symmetry_space_group_name_H-M 'R -3 m'
_symmetry_Int_Tables_number 166
_symmetry_space_group_name_Hall '-R 3 2"'
loop_
_atom_site_label
_atom_site_type_symbol
_atom_site_fract_x
_atom_site_fract_y
_atom_site_fract_z
Na1 Na 0.0000 0.0000 0.0923
Gd1 Gd 0.0000 0.0000 0.0000
Pb1 Pb 0.0000 0.0000 0.5000
```

3.
NaGdPb2 | GGA-PBE | optimized geometry

Summary:
The calculation puts the offset from the most stable computed form at 0.00 eV per formula unit. The value obtained for the total DFT energy (no corrections) is -6.057 eV/atom. The formation energy is -353 meV per atom.

Geometry as CIF:
```
data_NaGdPb2
_cell_length_a 4.959
_cell_length_b 4.959
_cell_length_c 4.550
_cell_angle_alpha 90.00
_cell_angle_beta 90.00
_cell_angle_gamma 90.00
_symmetry_space_group_name_H-M 'P 4/m m m'
_symmetry_Int_Tables_number 123
_symmetry_space_group_name_Hall '-P 4 2'
loop_
_atom_site_label
_atom_site_type_symbol
_atom_site_fract_x
_atom_site_fract_y
_atom_site_fract_z
Na1 Na 0.000 0.000 0.000
Gd1 Gd 0.500 0.500 0.000
Pb1 Pb 0.000 0.500 0.500
```